Computed, not measured: Gd2TmScIn2 after structural relaxation at the PBE-GGA level of DFT.

Properties
* E_tot: -4.62 eV per atom

Lattice parameters (Å, degrees): 5.2888 5.2888 6.6929 90.00 90.00 120.00
Last column: nearest neighbours and their distance in Å.
Space group P-6m2 (No. 187)
Asymmetric unit:
1 Gd 0.0000 0.0000 0.2436 [2 per cell]  2 Gd 3.26-3.43, 6 In 3.46-3.50, 3 Sc 3.46, 3 Tm 3.50
2 Tm 0.6667 0.3333 0.5000 [1 per cell]  5 In 3.05-3.35
3 Sc 0.3333 0.6667 0.0000 [1 per cell]  5 In 3.05-3.35
4 In 0.3333 0.6667 0.5000 [1 per cell]  3 Tm 3.05, 2 Sc 3.35
5 In 0.6667 0.3333 0.0000 [1 per cell]  3 Sc 3.05, 2 Tm 3.35